Entry 1:
A plane-wave DFT calculation with GGA-PBEsol was carried out for a relaxed PrBiAu2 crystal.

Cell lengths 5.100, 5.100, 5.100 Å; angles 60.00, 60.00, 60.00 degrees
Element x y z (fractional)
Au1 0.750 0.750 0.750
Au2 0.250 0.250 0.250
Bi1 0.500 0.500 0.500
Pr1 0.000 0.000 0.000

Summary:
For the formation enthalpy at 0 K, the calculation gives -0.612 eV per atom. For the mass density, the calculation gives 13.17 g cm⁻³. The space group is No. 225. The calculation puts the density of states at the Fermi level at 1.41 states/eV/cell.

Entry 2:
A plane-wave DFT calculation with GGA-PBEsol was carried out for a relaxed SiBiPtAu2 crystal.

Cell lengths 5.006, 5.055, 5.055 Å; angles 90.00, 90.00, 90.00 degrees
Element x y z (fractional)
Pt1 0.000 0.000 0.000
Au1 0.000 0.000 0.500
Au2 0.000 0.500 0.000
Bi1 0.500 0.000 0.000
Si1 0.500 0.500 0.500

Summary:
The uncorrected formation energy comes out at 855.9 meV/atom. For the mass density, the calculation gives 10.72 g cm⁻³. The space group is No. 123. The calculation puts the density of states at the Fermi level at 2.23 states/eV/cell.

Entry 3:
A plane-wave DFT calculation with GGA-PBEsol was carried out for a relaxed RbBi2Au crystal.

Cell lengths 5.310, 5.310, 10.804 Å; angles 104.23, 104.23, 90.00 degrees
Element x y z (fractional)
Bi1 0.981 0.375 0.250
Bi2 0.269 0.875 0.250
Bi3 0.625 0.731 0.750
Bi4 0.125 0.019 0.750
Au1 0.250 0.750 0.500
Au2 0.000 0.000 0.000
Rb1 0.750 0.250 0.500
Rb2 0.500 0.500 0.000

Summary:
For the formation enthalpy at 0 K, the calculation gives -0.002 eV per atom. For the mass density, the calculation gives 8.14 g cm⁻³. The space group is No. 122. The calculation puts the density of states at the Fermi level at 3.30 states/eV/cell.

Entry 4:
A plane-wave DFT calculation with GGA-PBEsol was carried out for a relaxed ReBiAu3 crystal.

Cell lengths 5.232, 5.232, 5.232 Å; angles 90.00, 90.00, 90.00 degrees
Element x y z (fractional)
Au1 0.000 0.500 0.000
Au2 0.500 0.000 0.000
Au3 0.000 0.000 0.500
Bi1 0.000 0.000 0.000
Re1 0.500 0.500 0.500

Summary:
For the formation enthalpy at 0 K, the calculation gives 1.956 eV per atom. For the mass density, the calculation gives 11.43 g cm⁻³. The space group is No. 221. The calculation puts the density of states at the Fermi level at 1.79 states/eV/cell.

Entry 5:
A plane-wave DFT calculation with GGA-PBEsol was carried out for a relaxed Bi2RhAu crystal.

Cell lengths 6.194, 6.252, 6.252 Å; angles 75.80, 60.31, 60.31 degrees
Element x y z (fractional)
Au1 0.000 0.000 0.000
Au2 0.750 0.500 0.500
Rh1 0.500 0.000 0.000
Rh2 0.250 0.500 0.500
Bi1 0.151 0.974 0.474
Bi2 0.599 0.026 0.526
Bi3 0.875 0.526 0.974
Bi4 0.375 0.474 0.026

Summary:
For the formation enthalpy at 0 K, the calculation gives 0.224 eV per atom. For the mass density, the calculation gives 13.05 g cm⁻³. The space group is No. 122. The calculation puts the density of states at the Fermi level at 4.92 states/eV/cell.

Entry 6:
A plane-wave DFT calculation with GGA-PBEsol was carried out for a relaxed SrBi2SbAu crystal.

Cell lengths 5.432, 5.432, 5.763 Å; angles 90.00, 90.00, 90.00 degrees
Element x y z (fractional)
Sb1 0.500 0.500 0.500
Bi1 0.000 0.500 0.000
Bi2 0.500 0.000 0.000
Au1 0.000 0.000 0.000
Sr1 0.000 0.000 0.500

Summary:
The uncorrected formation energy comes out at 18.6 meV/atom. For the mass density, the calculation gives 8.05 g cm⁻³. The space group is No. 123. The calculation puts the density of states at the Fermi level at 2.89 states/eV/cell.

Entry 7:
A plane-wave DFT calculation with GGA-PBEsol was carried out for a relaxed Sc2BiAu2 crystal.

Cell lengths 3.405, 7.832, 7.832 Å; angles 90.00, 90.00, 90.00 degrees
Element x y z (fractional)
Sc1 0.500 0.336 0.164
Sc2 0.500 0.836 0.336
Sc3 0.500 0.164 0.664
Sc4 0.500 0.664 0.836
Au1 0.000 0.872 0.628
Au2 0.000 0.372 0.872
Au3 0.000 0.128 0.372
Au4 0.000 0.628 0.128
Bi1 0.000 0.000 0.000
Bi2 0.000 0.500 0.500

Summary:
For the formation enthalpy at 0 K, the calculation gives -0.708 eV per atom. For the mass density, the calculation gives 11.02 g cm⁻³. The space group is No. 127. The calculation puts the density of states at the Fermi level at 5.67 states/eV/cell.

Entry 8:
A plane-wave DFT calculation with GGA-PBEsol was carried out for a relaxed ScBiAu3 crystal.

Cell lengths 4.998, 4.998, 4.998 Å; angles 90.00, 90.00, 90.00 degrees
Element x y z (fractional)
Au1 0.000 0.000 0.500
Au2 0.500 0.000 0.000
Au3 0.000 0.500 0.000
Bi1 0.500 0.500 0.500
Sc1 0.000 0.000 0.000

Summary:
For the formation enthalpy at 0 K, the calculation gives 0.442 eV per atom. For the mass density, the calculation gives 11.24 g cm⁻³. The space group is No. 221. The calculation puts the density of states at the Fermi level at 3.16 states/eV/cell.

Entry 9:
A plane-wave DFT calculation with GGA-PBEsol was carried out for a relaxed ScBiTe2Au crystal.

Cell lengths 5.493, 5.746, 5.746 Å; angles 90.00, 90.00, 90.00 degrees
Element x y z (fractional)
Te1 0.000 0.000 0.500
Te2 0.000 0.500 0.000
Au1 0.500 0.500 0.500
Bi1 0.000 0.000 0.000
Sc1 0.500 0.000 0.000

Summary:
The uncorrected formation energy comes out at 809.8 meV/atom. For the mass density, the calculation gives 6.46 g cm⁻³. The space group is No. 123. The calculation puts the density of states at the Fermi level at 4.65 states/eV/cell.

Entry 10:
A plane-wave DFT calculation with GGA-PBEsol was carried out for a relaxed ZnBi2AuSe crystal.

Cell lengths 4.589, 5.356, 5.356 Å; angles 90.00, 90.00, 90.00 degrees
Element x y z (fractional)
Au1 0.500 0.500 0.500
Zn1 0.000 0.000 0.000
Bi1 0.000 0.000 0.500
Bi2 0.000 0.500 0.000
Se1 0.500 0.000 0.000

Summary:
The uncorrected formation energy comes out at 575.7 meV/atom. For the mass density, the calculation gives 9.58 g cm⁻³. The space group is No. 123. The calculation puts the density of states at the Fermi level at 4.57 states/eV/cell.

Entry 11:
A plane-wave DFT calculation with GGA-PBEsol was carried out for a relaxed Si2SnBiAu crystal.

Cell lengths 5.258, 5.273, 5.273 Å; angles 90.00, 90.00, 90.00 degrees
Element x y z (fractional)
Bi1 0.000 0.000 0.000
Si1 0.000 0.000 0.500
Si2 0.000 0.500 0.000
Au1 0.500 0.000 0.000
Sn1 0.500 0.500 0.500

Summary:
The uncorrected formation energy comes out at 1196.9 meV/atom. For the mass density, the calculation gives 6.60 g cm⁻³. The space group is No. 123. The calculation puts the density of states at the Fermi level at 4.10 states/eV/cell.

Entry 12:
A plane-wave DFT calculation with GGA-PBEsol was carried out for a relaxed Sn2BiAu2 crystal.

Cell lengths 3.712, 7.872, 7.872 Å; angles 90.00, 90.00, 90.00 degrees
Element x y z (fractional)
Sn1 0.500 0.165 0.665
Sn2 0.500 0.665 0.835
Sn3 0.500 0.335 0.165
Sn4 0.500 0.835 0.335
Bi1 0.000 0.000 0.000
Bi2 0.000 0.500 0.500
Au1 0.000 0.869 0.631
Au2 0.000 0.369 0.869
Au3 0.000 0.131 0.369
Au4 0.000 0.631 0.131

Summary:
For the formation enthalpy at 0 K, the calculation gives -0.079 eV per atom. For the mass density, the calculation gives 12.13 g cm⁻³. The space group is No. 127. The calculation puts the density of states at the Fermi level at 3.72 states/eV/cell.